(1)
A relaxed TbPaNiN3 crystal. Source: the Alexandria database, functional PBE. Values from VASP.

The structure in Quantum ESPRESSO input format:
```
&SYSTEM
  ibrav = 0, nat = 12, ntyp = 4
/
ATOMIC_SPECIES
Tb 158.93 Tb.upf
N 14.01 N.upf
Ni 58.69 Ni.upf
Pa 231.04 Pa.upf
ATOMIC_POSITIONS crystal
Tb 0.750 0.835 0.793
Tb 0.250 0.165 0.207
N 0.750 0.428 0.142
N 0.250 0.572 0.858
N 0.250 0.810 0.524
N 0.750 0.190 0.476
N 0.250 0.127 0.865
N 0.750 0.873 0.135
Ni 0.250 0.103 0.570
Ni 0.750 0.897 0.430
Pa 0.750 0.338 0.815
Pa 0.250 0.662 0.185
CELL_PARAMETERS angstrom
3.418 0.000 0.000
0.000 6.981 1.091
0.000 -2.235 6.773
```

Computed properties:
formation energy without anion corrections	-105.1	kJ/mol of atoms
space-group type	P2_1/m, No. 11
crystal system	monoclinic


(2)
A relaxed Cs2Mg2S3 crystal. Source: the Alexandria database, functional PBE. Values from VASP.

The structure in Quantum ESPRESSO input format:
```
&SYSTEM
  ibrav = 0, nat = 7, ntyp = 3
/
ATOMIC_SPECIES
S 32.06 S.upf
Mg 24.30 Mg.upf
Cs 132.91 Cs.upf
ATOMIC_POSITIONS crystal
S 0.199 0.383 0.219
S 0.801 0.617 0.781
S 0.000 0.000 0.000
Mg 0.191 0.682 0.935
Mg 0.809 0.318 0.065
Cs 0.433 0.787 0.347
Cs 0.567 0.213 0.653
CELL_PARAMETERS angstrom
-3.720 -0.629 -1.925
1.302 -4.128 -5.829
-1.901 -7.550 1.480
```

Computed properties:
formation energy without anion corrections	-127.9	kJ/mol of atoms
space-group type	C2/m, No. 12
crystal system	monoclinic


(3)
A relaxed HoH6Ru2 crystal. Source: the Alexandria database, functional PBE. Values from VASP.

The structure in Quantum ESPRESSO input format:
```
&SYSTEM
  ibrav = 0, nat = 9, ntyp = 3
/
ATOMIC_SPECIES
H 1.01 H.upf
Ru 101.07 Ru.upf
Ho 164.93 Ho.upf
ATOMIC_POSITIONS crystal
H 0.083 0.583 0.702
H 0.379 0.488 0.274
H 0.917 0.417 0.298
H 0.012 0.121 0.726
H 0.988 0.879 0.274
H 0.621 0.512 0.726
Ru 0.752 0.748 0.500
Ru 0.248 0.252 0.500
Ho 0.500 0.000 0.000
CELL_PARAMETERS angstrom
-3.762 0.865 1.577
0.511 -3.349 2.431
3.014 3.440 1.897
```

Computed properties:
space-group type	C2/m, No. 12
raw total energy	-0.36475	Ry per atom
crystal system	monoclinic


(4)
A relaxed Pa2BeNi3Ge4 crystal. Source: the Alexandria database, functional PBE. Values from VASP.

The structure in Quantum ESPRESSO input format:
```
&SYSTEM
  ibrav = 0, nat = 10, ntyp = 4
/
ATOMIC_SPECIES
Ge 72.64 Ge.upf
Pa 231.04 Pa.upf
Be 9.01 Be.upf
Ni 58.69 Ni.upf
ATOMIC_POSITIONS crystal
Ge 0.500 0.000 0.628
Ge 0.000 0.500 0.372
Ge 0.500 0.500 0.000
Ge 0.000 0.000 0.000
Pa 0.000 0.500 0.744
Pa 0.500 0.000 0.256
Be 0.500 0.500 0.500
Ni 0.500 0.000 0.873
Ni 0.000 0.000 0.500
Ni 0.000 0.500 0.127
CELL_PARAMETERS angstrom
-0.944 1.118 -3.836
-3.296 -2.446 0.099
-5.192 7.132 3.355
```

Computed properties:
ΔE_f	-12.32	kcal/mol of atoms
space-group type	P-4m2, No. 115
crystal system	tetragonal


(5)
A relaxed LiPmTm2Cd4 crystal. Source: the Alexandria database, functional PBE. Values from VASP.

The structure in Quantum ESPRESSO input format:
```
&SYSTEM
  ibrav = 0, nat = 8, ntyp = 4
/
ATOMIC_SPECIES
Cd 112.41 Cd.upf
Pm 145.00 Pm.upf
Li 6.94 Li.upf
Tm 168.93 Tm.upf
ATOMIC_POSITIONS crystal
Cd 0.616 0.616 0.153
Cd 0.384 0.384 0.847
Cd 0.873 0.873 0.382
Cd 0.127 0.127 0.618
Pm 0.000 0.000 0.000
Li 0.500 0.500 0.500
Tm 0.753 0.753 0.741
Tm 0.247 0.247 0.259
CELL_PARAMETERS angstrom
-4.006 -2.845 1.579
-2.427 -3.110 -3.328
3.235 -8.406 1.494
```

Computed properties:
ΔE_f	-5.95	kcal/mol of atoms
space-group type	R-3m, No. 166
crystal system	trigonal


(6)
A relaxed PmGdSnPb crystal. Source: the Alexandria database, functional PBE. Values from VASP.

The structure in Quantum ESPRESSO input format:
```
&SYSTEM
  ibrav = 0, nat = 4, ntyp = 4
/
ATOMIC_SPECIES
Gd 157.25 Gd.upf
Pb 207.20 Pb.upf
Pm 145.00 Pm.upf
Sn 118.71 Sn.upf
ATOMIC_POSITIONS crystal
Gd 0.250 0.250 0.250
Pb 0.000 0.000 0.000
Pm 0.750 0.750 0.750
Sn 0.500 0.500 0.500
CELL_PARAMETERS angstrom
5.482 0.000 0.000
2.741 4.747 0.000
2.741 1.582 4.476
```

Computed properties:
ΔE_f	-11.77	kcal/mol of atoms
space-group type	F-43m, No. 216
crystal system	cubic


(7)
A relaxed CrTcPt2 crystal. Source: the Alexandria database, functional PBE. Values from VASP.

The structure in Quantum ESPRESSO input format:
```
&SYSTEM
  ibrav = 0, nat = 8, ntyp = 3
/
ATOMIC_SPECIES
Pt 195.08 Pt.upf
Tc 98.00 Tc.upf
Cr 52.00 Cr.upf
ATOMIC_POSITIONS crystal
Pt 0.621 0.125 0.250
Pt 0.875 0.871 0.750
Pt 0.129 0.625 0.250
Pt 0.375 0.379 0.750
Tc 0.000 0.000 0.000
Tc 0.750 0.250 0.500
Cr 0.250 0.750 0.500
Cr 0.500 0.500 0.000
CELL_PARAMETERS angstrom
-0.491 3.515 -1.083
-3.397 -0.852 -1.227
-5.386 3.353 6.968
```

Computed properties:
ΔE_f	7.38	kcal/mol of atoms
space-group type	I-42d, No. 122
crystal system	tetragonal